A PBEsol-optimized structure of ScInMo2. Source: Alexandria, functional meta-GGA SCAN.

Cell and atoms, written as POSCAR:
```
ScInMo2
1.0
3.502 0.000 0.000
0.000 4.355 0.000
0.000 0.000 9.195
Sc In Mo
2 2 4
Cartesian
0.000 0.000 0.000
1.751 2.178 4.597
0.000 0.000 4.597
1.751 2.178 0.000
0.000 2.178 2.311
0.000 2.178 6.884
1.751 0.000 2.287
1.751 0.000 6.908
```

Output
volume	17.5	Å³ per atom
space-group type	Immm (71)
E_form	0.13	eV per atom